Entry 1:
A relaxed AgPt2 crystal. Source: the Alexandria database, functional PBEsol.

Properties
Energy relative to the elements in eV per formula unit: 0.1
Distance to the lowest polymorph of the same formula in meV/atom: 21
Calculated density in g cm⁻³: 17.95
Total magnetic moment in μB per formula unit: 0.0
D(E_F) in states/eV per cell: 10.8
V in Å³ per cell: 184.27

```
12
Lattice="-2.5368 -4.7624 1.2965 3.1290 0.3085 -4.6216 5.4417 -1.8927 3.6949" Properties=species:S:1:pos:R:3 pbc="T T T"
Ag 4.5334 -5.3455 1.1113
Ag 3.0169 -3.1733 0.1849
Ag 1.5005 -1.0011 -0.7415
Ag 4.2853 -0.7921 -0.4634
Pt 2.8931 -5.4745 3.3800
Pt 1.4525 -3.3276 2.4957
Pt 3.1408 -0.8721 -3.0102
Pt 5.8098 -2.9797 0.4224
Pt 0.2240 -3.3670 -0.0526
Pt 4.1644 -3.0879 2.7303
Pt 2.7208 -0.9463 1.8474
Pt 1.8695 -3.2588 -2.3605
```



Entry 2:
A relaxed DyClO crystal. Source: the Alexandria database, functional PBEsol.

Properties
Uncorrected formation energy in eV/atom: -3.083
Calculated density in g cm⁻³: 5.34
Total magnetic moment in μB per formula unit: 0.0
D(E_F) in states/eV per cell: 0.0
V in Å³ per cell: 133.00

```
6
Lattice="-1.7230 1.1822 3.0964 -0.2005 -3.8872 1.3725 7.6429 0.9759 3.8802" Properties=species:S:1:pos:R:3 pbc="T T T"
Dy 3.8959 1.1986 3.9635
Dy 2.7853 -1.5751 2.1512
O 3.5995 0.4596 1.8274
O 3.0818 -0.8362 4.2873
Cl 0.2536 -1.1973 2.8515
Cl 6.4276 0.8207 3.2632
```



Entry 3:
A relaxed ZrHg2Pb crystal. Source: the Alexandria database, functional PBEsol.

Properties
Energy relative to the elements in eV per formula unit: -0.4
Calculated density in g cm⁻³: 12.64
Total magnetic moment in μB per formula unit: 0.0
D(E_F) in states/eV per cell: 2.2
V in Å³ per cell: 91.89

```
4
Lattice="-0.1484 -0.6563 3.1353 -4.6695 -2.3578 -0.7146 4.9293 -3.2205 -2.0806" Properties=species:S:1:pos:R:3 pbc="T T T"
Pb -0.0742 -0.3281 1.5677
Hg -1.2262 -3.7255 0.8020
Hg 1.3376 -2.5091 -0.4618
Zr -2.3347 -1.1789 -0.3573
```



Copy entry 1 word for word.
A relaxed AgPt2 crystal. Source: the Alexandria database, functional PBEsol.

Properties
Energy relative to the elements in eV per formula unit: 0.1
Distance to the lowest polymorph of the same formula in meV/atom: 21
Calculated density in g cm⁻³: 17.95
Total magnetic moment in μB per formula unit: 0.0
D(E_F) in states/eV per cell: 10.8
V in Å³ per cell: 184.27

```
12
Lattice="-2.5368 -4.7624 1.2965 3.1290 0.3085 -4.6216 5.4417 -1.8927 3.6949" Properties=species:S:1:pos:R:3 pbc="T T T"
Ag 4.5334 -5.3455 1.1113
Ag 3.0169 -3.1733 0.1849
Ag 1.5005 -1.0011 -0.7415
Ag 4.2853 -0.7921 -0.4634
Pt 2.8931 -5.4745 3.3800
Pt 1.4525 -3.3276 2.4957
Pt 3.1408 -0.8721 -3.0102
Pt 5.8098 -2.9797 0.4224
Pt 0.2240 -3.3670 -0.0526
Pt 4.1644 -3.0879 2.7303
Pt 2.7208 -0.9463 1.8474
Pt 1.8695 -3.2588 -2.3605
```